a.
First-principles (PBE+U) data for NiSCl2O after structural relaxation, as listed in the Alexandria database.

Geometry as POSCAR:
```
NiSCl2O
1.0
-2.923 -3.224 -1.422
2.448 -3.187 2.192
-2.246 0.567 3.332
Ni S O Cl
1 1 1 2
Cartesian
-1.360 -2.922 2.051 Ni
-1.123 0.283 1.666 S
0.000 0.000 0.000 O
1.224 -1.594 1.096 Cl
-1.462 -1.612 -0.711 Cl
```

b.
First-principles (PBE+U) data for NiSCl2O after structural relaxation, as listed in the Alexandria database.

Geometry as POSCAR:
```
NiSCl2O
1.0
4.766 0.000 0.000
0.000 4.766 0.000
0.000 0.000 4.753
Ni S O Cl
1 1 1 2
Cartesian
0.000 0.000 0.000 Ni
0.000 0.000 2.377 S
2.383 2.383 2.377 O
0.000 2.383 0.000 Cl
2.383 0.000 0.000 Cl
```

Which one is the most stable? From the structures above, b.